Material: MgB2
Method: DFT, PBE-GGA
State: relaxed

The structure belongs to space group I4/mmm (No. 139); the cell edges are 2.6613, 2.6613 and 8.4462 Å and the angles 90.00°, 90.00° and 90.00°. The distinct sites, in fractional coordinates, are Mg at (0.0000, 0.0000, 0.0000) and B at (0.0000, 0.0000, 0.2838).

The spin magnetization is 0.00 μB/atom. Its energy above the most stable polymorph in this dataset is 1055.7 meV/atom. The volume is 60 Å³ per cell.